{
  "formula": "Rb2Y2PaS6",
  "functional": "PBE-GGA",
  "state": "relaxed",
  "cell": [[3.505, -6.058, 0.000], [3.505, 6.058, 0.000], [-2.373, 0.000, 7.878]],
  "species": ["Rb", "Rb", "Y", "Y", "Pa", "S", "S", "S", "S", "S", "S"],
  "frac_coords": [[0.168, 0.832, 0.000], [0.832, 0.168, 0.000], [0.334, 0.666, 0.500], [0.666, 0.334, 0.500], [0.000, 0.000, 0.500], [0.062, 0.392, 0.687], [0.264, 0.264, 0.313], [0.392, 0.062, 0.687], [0.608, 0.938, 0.313], [0.736, 0.736, 0.687], [0.938, 0.608, 0.313]],
  "final_energy_ev_per_atom": -6.28,
  "raw_formation_energy_ev_per_atom": -1.8132,
  "dos_at_fermi_per_ev_fu": 2.06,
  "spacegroup": "C2/m (12)"
}